Density functional theory data (PBE) for a relaxed LiMg2Hg crystal.

Properties
The space group is P6_3/mmc. The calculated total energy comes out at -1.53 eV/atom. The volume comes out at 84 Å³/f.u.

```
LiMg2Hg
1.0
4.727 0.000 0.000
0.000 8.653 0.000
0.000 0.000 8.181
Hg Mg Li
4 8 4
Direct
0.000 0.750 0.166
0.000 0.250 0.834
0.500 0.750 0.666
0.500 0.250 0.334
0.500 0.919 0.333
0.000 0.081 0.167
0.000 0.419 0.167
0.500 0.581 0.333
0.000 0.581 0.833
0.000 0.919 0.833
0.500 0.419 0.667
0.500 0.081 0.667
0.500 0.250 0.000
0.500 0.750 0.000
0.000 0.750 0.500
0.000 0.250 0.500
```

Density functional theory data (PBE) for a relaxed Ac5Pa2S12 crystal.

Properties
The space group is C2/m. The calculated total energy comes out at -6.69 eV/atom. The volume comes out at 572 Å³/f.u.

```
Ac5Pa2S12
1.0
-6.294 -1.220 6.320
-0.303 -6.143 6.573
5.592 6.972 3.243
S Ac Pa
12 5 2
Direct
0.438 0.901 0.085
0.100 0.598 0.429
0.501 0.501 0.200
0.499 0.499 0.800
0.402 0.900 0.571
0.901 0.438 0.085
0.000 0.000 0.191
0.000 0.000 0.809
0.099 0.562 0.915
0.598 0.100 0.429
0.900 0.402 0.571
0.562 0.099 0.915
0.309 0.309 0.172
0.000 0.000 0.500
0.691 0.691 0.828
0.702 0.702 0.362
0.298 0.298 0.638
0.248 0.752 0.000
0.752 0.248 0.000
```